Record 1
Here is crystalline YPaCu2O8 at its relaxed geometry from the Alexandria database. Energies are from PBE.

It has space group I-4m2 (No. 119), with a = 7.082 Å, b = 7.082 Å, c = 6.546 Å, α = 90.00°, β = 90.00° and γ = 90.00°. The inequivalent atoms are Y at (0.000, 0.000, 0.000), Pa at (0.000, 0.500, 0.750), Cu at (0.000, 0.000, 0.500), Cu at (0.000, 0.500, 0.250), O at (0.000, 0.186, 0.699) and O at (0.000, 0.325, 0.044).

The calculation puts the density at 5.82 g cm⁻³. Its final energy is -84.5 eV/f.u.

Record 2
Here is crystalline PaZn4Cu3O12 at its relaxed geometry from the Alexandria database. Energies are from PBE.

It has space group Im-3 (No. 204), with a = 7.471 Å, b = 7.471 Å, c = 7.471 Å, α = 90.00°, β = 90.00° and γ = 90.00°. The inequivalent atoms are Pa at (0.000, 0.000, 0.000), Zn at (0.250, 0.250, 0.250), Cu at (0.000, 0.000, 0.500) and O at (0.000, 0.158, 0.302).

The calculation puts the density at 6.97 g cm⁻³. Its final energy is -110.1 eV/f.u.

Energy relative to the elements, uncorrected? In order: -1720, -1188 meV per atom.